# 1
Ca3Ge7Ru2 (GGA-PBE, relaxed); formation energy from the elements = -3.6 eV per formula unit; M_tot = 0.00 μB/cell; ρ = 5.35 g/cm3
1.0
4.246 0.000 0.000
0.000 4.888 -1.246
0.000 -3.380 13.287
Ge Ru Ca
7 2 3
Direct
0.500 0.943 0.247 Ge
0.500 0.057 0.753 Ge
0.000 0.000 0.000 Ge
0.000 0.876 0.604 Ge
0.000 0.585 0.212 Ge
0.000 0.415 0.788 Ge
0.000 0.124 0.396 Ge
0.000 0.941 0.820 Ru
0.000 0.059 0.180 Ru
0.500 0.393 0.614 Ca
0.500 0.607 0.386 Ca
0.500 0.500 0.000 Ca

=====

# 2
Li2Zn2Ag2Sn (GGA-PBE, relaxed); formation energy from the elements = -1.3 eV per formula unit; M_tot = 0.00 μB/cell; ρ = 6.62 g/cm3
1.0
4.171 0.000 0.000
-2.085 4.680 0.518
0.000 -0.985 6.048
Li Zn Ag Sn
2 2 2 1
Direct
0.710 0.420 0.145 Li
0.290 0.580 0.855 Li
0.577 0.154 0.694 Zn
0.423 0.846 0.306 Zn
0.852 0.703 0.574 Ag
0.148 0.297 0.426 Ag
0.000 0.000 0.000 Sn

=====

# 3
Cu2H10C6S3N4 (GGA-PBE, relaxed); M_tot = 0.00 μB/cell; ρ = 1.89 g/cm3; VASP energy = -5.76 eV per atom
1.0
30.685 0.000 0.000
0.000 5.856 0.021
0.000 2.974 7.072
C Cu S H N
24 8 12 40 16
Direct
0.736 0.253 0.113 C
0.629 0.296 0.430 C
0.264 0.747 0.887 C
0.113 0.238 0.563 C
0.659 0.588 0.558 C
0.841 0.588 0.058 C
0.887 0.762 0.437 C
0.917 0.633 0.945 C
0.510 0.018 0.785 C
0.871 0.296 0.930 C
0.613 0.762 0.937 C
0.083 0.367 0.055 C
0.387 0.238 0.063 C
0.341 0.412 0.442 C
0.010 0.982 0.715 C
0.159 0.412 0.942 C
0.129 0.704 0.070 C
0.583 0.633 0.445 C
0.236 0.747 0.387 C
0.417 0.367 0.555 C
0.371 0.704 0.570 C
0.490 0.982 0.215 C
0.764 0.253 0.613 C
0.990 0.018 0.285 C
0.960 0.423 0.415 Cu
0.540 0.423 0.915 Cu
0.714 0.806 0.991 Cu
0.460 0.577 0.085 Cu
0.040 0.577 0.585 Cu
0.214 0.194 0.509 Cu
0.786 0.806 0.491 Cu
0.286 0.194 0.009 Cu
0.013 0.775 0.266 S
0.745 0.970 0.670 S
0.255 0.030 0.330 S
0.513 0.225 0.234 S
0.487 0.775 0.766 S
0.145 0.025 0.540 S
0.987 0.225 0.734 S
0.355 0.025 0.040 S
0.855 0.975 0.460 S
0.755 0.970 0.170 S
0.645 0.975 0.960 S
0.245 0.030 0.830 S
0.599 0.200 0.418 H
0.816 0.450 0.131 H
0.099 0.800 0.082 H
0.901 0.200 0.918 H
0.446 0.473 0.567 H
0.316 0.550 0.369 H
0.425 0.268 0.465 H
0.359 0.586 0.711 H
0.671 0.709 0.417 H
0.406 0.239 0.695 H
0.849 0.695 0.143 H
0.109 0.661 0.828 H
0.075 0.268 0.965 H
0.829 0.709 0.917 H
0.651 0.695 0.643 H
0.171 0.291 0.083 H
0.575 0.732 0.535 H
0.345 0.837 0.492 H
0.349 0.305 0.357 H
0.906 0.761 0.805 H
0.094 0.239 0.195 H
0.609 0.339 0.672 H
0.946 0.527 0.933 H
0.845 0.163 0.008 H
0.184 0.550 0.869 H
0.684 0.450 0.631 H
0.859 0.414 0.789 H
0.155 0.837 0.992 H
0.391 0.661 0.328 H
0.641 0.414 0.289 H
0.054 0.473 0.067 H
0.141 0.586 0.211 H
0.554 0.527 0.433 H
0.925 0.732 0.035 H
0.151 0.305 0.857 H
0.401 0.800 0.582 H
0.655 0.163 0.508 H
0.594 0.761 0.305 H
0.329 0.291 0.583 H
0.891 0.339 0.172 H
0.619 0.456 0.536 N
0.410 0.390 0.076 N
0.910 0.610 0.424 N
0.776 0.459 0.572 N
0.119 0.544 0.964 N
0.381 0.544 0.464 N
0.090 0.390 0.576 N
0.224 0.541 0.428 N
0.973 0.192 0.301 N
0.276 0.541 0.928 N
0.724 0.459 0.072 N
0.027 0.808 0.699 N
0.473 0.808 0.199 N
0.881 0.456 0.036 N
0.590 0.610 0.924 N
0.527 0.192 0.801 N

=====

# 4
La2NbV (GGA-PBE, relaxed); formation energy from the elements = 2.1 eV per formula unit; M_tot = 1.24 μB/cell; ρ = 6.58 g/cm3
1.0
0.000 3.762 3.762
3.762 0.000 3.762
3.762 3.762 0.000
La V Nb
2 1 1
Direct
0.750 0.750 0.750 La
0.250 0.250 0.250 La
0.000 0.000 0.000 V
0.500 0.500 0.500 Nb

=====

# 5
BaSb2Br (GGA-PBE, relaxed); M_tot = 0.00 μB/cell; ρ = 5.65 g/cm3; E_form (uncorrected) = -0.124 eV per atom
1.0
0.000 4.075 4.075
4.075 0.000 4.075
4.075 4.075 0.000
Sb Br Ba
2 1 1
Direct
0.750 0.750 0.750 Sb
0.250 0.250 0.250 Sb
0.000 0.000 0.000 Br
0.500 0.500 0.500 Ba

=====

# 6
KSiSn2 (GGA-PBE, relaxed); M_tot = 0.00 μB/cell; ρ = 3.26 g/cm3; E_form (uncorrected) = 0.212 eV per atom
1.0
5.850 0.000 0.000
0.000 5.850 0.000
2.925 2.925 9.075
Sn K Si
4 2 2
Direct
0.370 0.625 0.250 Sn
0.875 0.630 0.750 Sn
0.375 0.620 0.750 Sn
0.380 0.125 0.250 Sn
0.750 0.250 0.500 K
0.000 0.000 0.000 K
0.500 0.500 0.000 Si
0.250 0.750 0.500 Si

=====

# 7
ZnCdRe2 (GGA-PBE, relaxed); formation energy from the elements = 0.8 eV per formula unit; M_tot = 0.00 μB/cell; ρ = 13.85 g/cm3
1.0
2.999 0.000 0.000
0.000 2.999 0.000
0.000 0.000 7.336
Cd Re Zn
1 2 1
Direct
0.500 0.500 0.750 Cd
0.000 0.000 0.037 Re
0.500 0.500 0.238 Re
0.000 0.000 0.475 Zn

=====

# 8
KTeHPd2 (GGA-PBE, relaxed); M_tot = 0.00 μB/cell; ρ = 6.94 g/cm3; VASP energy = -3.46 eV per atom
1.0
-3.708 -1.293 2.048
-0.966 -2.841 -3.542
2.240 -3.255 2.000
H Te Pd K
1 1 2 1
Direct
0.000 0.000 0.000 H
0.000 0.500 0.000 Te
0.500 0.000 0.000 Pd
0.000 0.000 0.500 Pd
0.500 0.500 0.500 K

=====

> Which formula does entry 4 have?

La2NbV

=====

Copy entry 8 word for word.
KTeHPd2 (GGA-PBE, relaxed); M_tot = 0.00 μB/cell; ρ = 6.94 g/cm3; VASP energy = -3.46 eV per atom
1.0
-3.708 -1.293 2.048
-0.966 -2.841 -3.542
2.240 -3.255 2.000
H Te Pd K
1 1 2 1
Direct
0.000 0.000 0.000 H
0.000 0.500 0.000 Te
0.500 0.000 0.000 Pd
0.000 0.000 0.500 Pd
0.500 0.500 0.500 K

=====

> Look up the M_tot of the sixth one.

0.00 μB/cell